VASP calculation (SCAN) on a crystal of K2BeCu2 relaxed with PBEsol.

Its symmetry is I4/mmm (139). The volume comes out at 26.11 A^3/atom. The formation energy comes out at 60.2 kJ per mole of atoms.

Cell lengths 5.5411, 5.5411, 5.5411 Å; angles 105.82, 111.33, 111.33 degrees
Fractional coordinates of all 5 atoms:
Cu  0.0000  0.3224  0.3224
Cu  0.0000  0.6776  0.6776
Be  0.0000  0.0000  0.0000
K  0.5000  0.2500  0.7500
K  0.5000  0.7500  0.2500